Here is NdSmPd2Pb after structural relaxation from OQMD via LeMat-Bulk. Energies are from PBE.

Geometry as extended XYZ:
```
5
Lattice="3.715 0.000 0.000 0.000 2.171 7.563 0.000 -2.171 7.563" Properties=species:S:1:pos:R:3 pbc="T T T"
Nd 0.000 0.000 0.000
Sm 0.000 0.000 4.052
Pd 1.858 0.000 6.644
Pd 1.858 0.000 12.494
Pb 1.858 0.000 9.594
```

Crystal system: orthorhombic
Total magnetic moment: 0.00 μB/cell
VASP energy: -5.489 eV per atom